# LiZr5 (GGA-PBE, optimized geometry)
data_LiZr5
_space_group_name_H-M_alt 'C 1 m 1'
_space_group_IT_number 8
_space_group_name_Hall 'C -2y'
_cell_length_a 11.658
_cell_length_b 3.160
_cell_length_c 7.522
_cell_angle_alpha 90.00
_cell_angle_beta 103.54
_cell_angle_gamma 90.00
loop_
_atom_site_label
_atom_site_type_symbol
_atom_site_fract_x
_atom_site_fract_y
_atom_site_fract_z
Li1 Li 0.000 0.000 0.000
Zr1 Zr 0.060 0.000 0.611
Zr2 Zr 0.179 0.500 0.342
Zr3 Zr 0.220 0.500 0.953
Zr4 Zr 0.338 0.000 0.688
Zr5 Zr 0.395 0.000 0.279
# Energy of formation = 114 meV/atom
# Distance to the lowest polymorph of the same formula = 0 meV per atom



# LiZr3 (GGA-PBE, optimized geometry)
data_LiZr3
_space_group_name_H-M_alt 'I m m m'
_space_group_IT_number 71
_space_group_name_Hall '-I 2 2'
_cell_length_a 3.326
_cell_length_b 5.033
_cell_length_c 10.116
_cell_angle_alpha 90.00
_cell_angle_beta 90.00
_cell_angle_gamma 90.00
loop_
_atom_site_label
_atom_site_type_symbol
_atom_site_fract_x
_atom_site_fract_y
_atom_site_fract_z
Li1 Li 0.000 0.000 0.000
Zr1 Zr 0.000 0.000 0.500
Zr2 Zr 0.000 0.500 0.275
# Energy of formation = 169 meV/atom
# Distance to the lowest polymorph of the same formula = 56 meV per atom



# Li5Zr (GGA-PBE, optimized geometry)
data_Li5Zr
_space_group_name_H-M_alt 'A m m 2'
_space_group_IT_number 38
_space_group_name_Hall 'A 2 -2'
_cell_length_a 5.100
_cell_length_b 2.851
_cell_length_c 16.224
_cell_angle_alpha 90.00
_cell_angle_beta 90.00
_cell_angle_gamma 90.00
loop_
_atom_site_label
_atom_site_type_symbol
_atom_site_fract_x
_atom_site_fract_y
_atom_site_fract_z
Li1 Li 0.000 0.000 0.000
Li2 Li 0.000 0.000 0.326
Li3 Li 0.000 0.000 0.669
Li4 Li 0.500 0.000 0.228
Li5 Li 0.500 0.000 0.566
Zr1 Zr 0.500 0.000 0.895
# Energy of formation = 177 meV/atom
# Distance to the lowest polymorph of the same formula = 0 meV per atom